The following is a DFT calculation (GGA-PBE) of an optimized crystal structure of CaBeC2.

Output
Formation energy from the elements ... 0.569 eV/atom

Unit cell a=3.899 b=3.899 c=6.556 alpha=72.70 beta=72.70 gamma=90.00
Element x y z (fractional)
C (0.375, 0.625, 0.750)
C (0.375, 0.625, 0.250)
C (0.375, 0.125, 0.250)
C (0.875, 0.625, 0.750)
Ca (0.000, 0.000, 0.000)
Ca (0.750, 0.250, 0.500)
Be (0.250, 0.750, 0.500)
Be (0.500, 0.500, 0.000)

The following is a DFT calculation (GGA-PBE) of an optimized crystal structure of CaBe2C.

Output
Formation energy from the elements ... 0.363 eV/atom

Unit cell a=5.538 b=5.538 c=5.539 alpha=60.01 beta=60.01 gamma=90.00
Element x y z (fractional)
Be (0.375, 0.625, 0.750)
Be (0.375, 0.625, 0.250)
Be (0.375, 0.125, 0.250)
Be (0.875, 0.625, 0.750)
C (0.500, 0.500, 0.000)
C (0.250, 0.750, 0.500)
Ca (0.750, 0.250, 0.500)
Ca (0.000, 0.000, 0.000)

The following is a DFT calculation (GGA-PBE) of an optimized crystal structure of CaBe3C.

Output
Formation energy from the elements ... 0.728 eV/atom
E above lowest polymorph ... 0 meV/atom

Unit cell a=3.846 b=3.846 c=3.846 alpha=90.00 beta=90.00 gamma=90.00
Element x y z (fractional)
C (0.000, 0.000, 0.000)
Ca (0.500, 0.500, 0.500)
Be (0.500, 0.000, 0.000)
Be (0.000, 0.500, 0.000)
Be (0.000, 0.000, 0.500)

The following is a DFT calculation (GGA-PBE) of an optimized crystal structure of CaBeC3.

Output
Formation energy from the elements ... 1.653 eV/atom
E above lowest polymorph ... 0 meV/atom

Unit cell a=3.729 b=3.729 c=3.729 alpha=90.00 beta=90.00 gamma=90.00
Element x y z (fractional)
Be (0.000, 0.000, 0.000)
C (0.000, 0.000, 0.500)
C (0.500, 0.000, 0.000)
C (0.000, 0.500, 0.000)
Ca (0.500, 0.500, 0.500)